ScHF4 | PBE | relaxed

Computed properties:
- Space group: C2/c (15)
- Energy: -5.977 eV/atom
- Polymorph energy (0 for the lowest one): 0.00 eV per formula unit

Lattice parameters (Å, degrees): 6.8048 6.8048 5.4877 98.81 98.81 133.96
Positions (direct):
Sc 0.0710 0.9290 0.7500
Sc 0.9290 0.0710 0.2500
H 0.3211 0.6789 0.2500
H 0.6789 0.3211 0.7500
F 0.1026 0.4611 0.2436
F 0.1582 0.2549 0.6481
F 0.2549 0.1582 0.1481
F 0.4611 0.1026 0.7436
F 0.5389 0.8974 0.2564
F 0.7451 0.8418 0.8519
F 0.8418 0.7451 0.3519
F 0.8974 0.5389 0.7564